Below is a relaxed structure of MgRuPb3, with properties calculated at the PBE level.

Cell lengths 5.3022, 5.3022, 5.3022 Å; angles 90.00, 90.00, 90.00 degrees
Fractional positions:
Pb  0.0000  0.0000  0.5000
Pb  0.5000  0.0000  0.0000
Mg  0.5000  0.5000  0.5000
Ru  0.0000  0.0000  0.0000
Pb  0.0000  0.5000  0.0000

Calculated values
The formation energy comes out at 329.1 meV per atom. The calculation puts the density at 8.32 g/cm3. As for the energy above the lowest structure with this stoichiometry: 0.0000 eV per atom. As for the raw total energy: -20.35 eV/f.u.